No. 1
Below is a relaxed structure of RbMo2F8, with properties calculated at the PBE with a Hubbard U level.

The structure in POSCAR format:
```
RbMo2F8
1.0
4.174 0.171 -0.222
-0.594 5.682 -3.010
0.146 -0.091 6.455
Mo Rb F
2 1 8
Direct
0.000 0.332 0.668
0.000 0.668 0.332
0.500 0.000 0.000
0.922 0.966 0.657
0.922 0.657 0.966
0.228 0.603 0.603
0.500 0.703 0.297
0.500 0.297 0.703
0.772 0.397 0.397
0.078 0.343 0.034
0.078 0.034 0.343
```

D(E_F) = 0.01 states/eV per atom
final energy = -0.192 hartree per atom



No. 2
Below is a relaxed structure of RbMoF5, with properties calculated at the PBE with a Hubbard U level.

The structure in POSCAR format:
```
RbMoF5
1.0
-4.187 -4.630 -1.352
0.726 -0.201 6.342
-3.068 8.275 -0.151
Rb Mo F
2 2 10
Direct
0.717 0.467 0.250
0.283 0.533 0.750
0.000 0.000 0.000
0.500 0.000 0.500
0.874 0.191 0.097
0.208 0.761 0.471
0.407 0.223 0.597
0.305 0.055 0.250
0.790 0.736 0.029
0.210 0.264 0.971
0.695 0.945 0.750
0.593 0.777 0.403
0.792 0.239 0.529
0.126 0.809 0.903
```

D(E_F) = 0.00 states/eV per atom
final energy = -0.191 hartree per atom



No. 3
Below is a relaxed structure of RbMoF2, with properties calculated at the PBE with a Hubbard U level.

The structure in POSCAR format:
```
RbMoF2
1.0
-2.867 -6.032 4.080
-0.908 -3.992 6.671
-4.472 -2.950 5.706
Mo Rb F
1 1 2
Direct
0.000 0.000 0.000
0.500 0.500 0.500
0.906 0.906 0.906
0.094 0.094 0.094
```

D(E_F) = 0.13 states/eV per atom
energy above the most stable polymorph in this dataset = 0.00 eV/f.u.



No. 4
Below is a relaxed structure of Rb2MoF2, with properties calculated at the PBE with a Hubbard U level.

The structure in POSCAR format:
```
Rb2MoF2
1.0
5.199 0.000 0.000
0.000 5.199 0.000
2.600 2.600 6.441
Mo Rb F
1 2 2
Direct
0.000 0.000 0.000
0.314 0.314 0.373
0.686 0.686 0.627
0.750 0.250 0.500
0.250 0.750 0.500
```

D(E_F) = 0.01 states/eV per atom
energy above the most stable polymorph in this dataset = 0.00 eV/f.u.



No. 5
Below is a relaxed structure of Rb4MoF8, with properties calculated at the PBE with a Hubbard U level.

The structure in POSCAR format:
```
Rb4MoF8
1.0
-1.151 7.103 0.664
-4.207 -0.828 5.817
5.512 0.861 4.593
Rb Mo F
4 1 8
Direct
0.500 0.000 0.500
0.000 0.500 0.500
0.500 0.500 0.000
0.000 0.000 0.000
0.500 0.500 0.500
0.321 0.621 0.321
0.679 0.679 0.379
0.679 0.379 0.679
0.379 0.679 0.679
0.801 0.801 0.801
0.199 0.199 0.199
0.621 0.321 0.321
0.321 0.321 0.621
```

D(E_F) = 1.10 states/eV per atom
final energy = -0.166 hartree per atom



No. 6
Below is a relaxed structure of RbMoF2, with properties calculated at the PBE with a Hubbard U level.

The structure in POSCAR format:
```
RbMoF2
1.0
5.385 0.000 0.000
0.000 5.385 0.000
2.693 2.693 6.941
Mo Rb F
2 2 4
Direct
0.000 0.000 0.000
0.750 0.250 0.500
0.500 0.500 0.000
0.250 0.750 0.500
0.692 0.125 0.250
0.058 0.625 0.250
0.375 0.308 0.750
0.875 0.942 0.750
```

D(E_F) = 0.00 states/eV per atom
energy above the most stable polymorph in this dataset = 1.18 eV/f.u.



No. 7
Below is a relaxed structure of Rb2MoF5, with properties calculated at the PBE with a Hubbard U level.

The structure in POSCAR format:
```
Rb2MoF5
1.0
-3.237 5.787 1.008
-4.148 -1.437 -5.071
1.287 -3.952 4.506
Rb Mo F
2 1 5
Direct
0.248 0.748 0.495
0.748 0.248 0.495
0.992 0.992 0.984
0.795 0.232 0.027
0.232 0.232 0.028
0.795 0.795 0.026
0.232 0.795 0.027
0.735 0.736 0.471
```

D(E_F) = 0.00 states/eV per atom
energy above the most stable polymorph in this dataset = 1.38 eV/f.u.



No. 8
Below is a relaxed structure of RbMo2F, with properties calculated at the PBE with a Hubbard U level.

The structure in POSCAR format:
```
RbMo2F
1.0
0.619 -4.678 3.084
-0.214 0.284 5.626
-4.413 -2.157 2.766
Mo Rb F
2 1 1
Direct
0.250 0.250 0.250
0.750 0.750 0.750
0.500 0.500 0.500
0.000 0.000 0.000
```

D(E_F) = 0.46 states/eV per atom
energy above the most stable polymorph in this dataset = 1.76 eV/f.u.



No. 9
Below is a relaxed structure of RbMoF2, with properties calculated at the PBE with a Hubbard U level.

The structure in POSCAR format:
```
RbMoF2
1.0
-2.407 -1.678 3.701
-4.691 -0.485 -0.257
-1.922 -4.310 -0.191
Mo Rb F
1 1 2
Direct
0.500 0.500 0.500
0.000 0.000 0.000
0.250 0.250 0.250
0.750 0.750 0.750
```

D(E_F) = 0.00 states/eV per atom
energy above the most stable polymorph in this dataset = 1.75 eV/f.u.



No. 10
Below is a relaxed structure of Rb2MoF, with properties calculated at the PBE with a Hubbard U level.

The structure in POSCAR format:
```
Rb2MoF
1.0
-1.412 -5.900 -0.295
-4.741 -1.826 -3.329
0.914 -3.088 -5.150
Mo Rb F
1 2 1
Direct
0.500 0.500 0.500
0.250 0.250 0.250
0.750 0.750 0.750
0.000 0.000 0.000
```

D(E_F) = 0.00 states/eV per atom
energy above the most stable polymorph in this dataset = 1.38 eV/f.u.



No. 11
Below is a relaxed structure of Rb2MoRuF6, with properties calculated at the PBE with a Hubbard U level.

The structure in POSCAR format:
```
Rb2MoRuF6
1.0
6.290 0.000 0.000
0.000 6.290 0.000
3.145 3.145 4.685
Ru Mo Rb F
1 1 2 6
Direct
0.000 0.000 0.000
0.500 0.500 0.000
0.750 0.250 0.500
0.250 0.750 0.500
0.276 0.276 0.447
0.724 0.724 0.553
0.264 0.264 0.000
0.736 0.736 0.000
0.736 0.264 0.000
0.264 0.736 0.000
```

D(E_F) = 0.00 states/eV per atom
final energy = -0.183 hartree per atom



No. 12
Below is a relaxed structure of Rb2MoSF6, with properties calculated at the PBE with a Hubbard U level.

The structure in POSCAR format:
```
Rb2MoSF6
1.0
6.642 0.000 0.000
0.000 6.642 0.000
3.321 3.321 5.090
Mo S Rb F
1 1 2 6
Direct
0.000 0.000 0.000
0.500 0.500 0.000
0.750 0.250 0.500
0.250 0.750 0.500
0.194 0.194 0.612
0.806 0.806 0.388
0.214 0.214 0.000
0.786 0.786 0.000
0.786 0.214 0.000
0.214 0.786 0.000
```

D(E_F) = 0.51 states/eV per atom
final energy = -0.163 hartree per atom



No. 13
Below is a relaxed structure of Rb2SbMoF6, with properties calculated at the PBE with a Hubbard U level.

The structure in POSCAR format:
```
Rb2SbMoF6
1.0
-4.803 -4.729 2.352
1.716 -4.404 -5.351
1.504 -6.418 1.002
Sb Mo Rb F
1 1 2 6
Direct
0.000 0.000 0.000
0.500 0.500 0.000
0.750 0.250 0.500
0.250 0.750 0.500
0.256 0.256 0.488
0.744 0.744 0.512
0.293 0.293 0.000
0.707 0.707 0.000
0.707 0.293 0.000
0.293 0.707 0.000
```

D(E_F) = 0.00 states/eV per atom
final energy = -0.171 hartree per atom



No. 14
Below is a relaxed structure of Rb2MoSeF6, with properties calculated at the PBE with a Hubbard U level.

The structure in POSCAR format:
```
Rb2MoSeF6
1.0
6.606 0.000 0.000
0.000 6.606 0.000
3.303 3.303 4.676
Mo Se Rb F
1 1 2 6
Direct
0.000 0.000 0.000
0.500 0.500 0.000
0.750 0.250 0.500
0.250 0.750 0.500
0.225 0.225 0.550
0.775 0.775 0.450
0.225 0.225 0.000
0.775 0.775 0.000
0.775 0.225 0.000
0.225 0.775 0.000
```

final energy = -0.165 hartree per atom



No. 15
Below is a relaxed structure of Rb2SiMoF6, with properties calculated at the PBE with a Hubbard U level.

The structure in POSCAR format:
```
Rb2SiMoF6
1.0
-4.274 -4.686 -0.456
4.569 -4.277 1.127
-0.654 -4.179 4.732
Mo Si Rb F
1 1 2 6
Direct
0.000 0.000 0.000
0.500 0.500 0.000
0.750 0.250 0.500
0.250 0.750 0.500
0.240 0.240 0.519
0.760 0.760 0.481
0.266 0.266 0.000
0.734 0.734 0.000
0.734 0.266 0.000
0.266 0.734 0.000
```

D(E_F) = 0.00 states/eV per atom
final energy = -0.177 hartree per atom



No. 16
Below is a relaxed structure of RbSn2MoF8, with properties calculated at the PBE with a Hubbard U level.

The structure in POSCAR format:
```
RbSn2MoF8
1.0
-4.521 -1.427 1.019
2.612 -5.124 0.787
-0.066 0.398 8.039
Rb Sn Mo F
1 2 1 8
Direct
0.000 0.000 0.500
0.447 0.502 0.747
0.553 0.498 0.253
0.000 0.000 0.000
0.981 0.730 0.207
0.594 0.797 0.036
0.888 0.219 0.189
0.019 0.270 0.793
0.406 0.203 0.964
0.112 0.781 0.811
0.455 0.719 0.458
0.545 0.281 0.542
```

D(E_F) = 0.00 states/eV per atom
final energy = -0.185 hartree per atom



No. 17
Below is a relaxed structure of RbSnMoF6, with properties calculated at the PBE with a Hubbard U level.

The structure in POSCAR format:
```
RbSnMoF6
1.0
-3.316 -4.163 5.845
-2.470 -5.380 -5.233
7.609 1.955 0.364
Rb Sn Mo F
2 2 2 12
Direct
0.850 0.600 0.701
0.150 0.400 0.299
0.500 0.000 0.500
0.000 0.000 0.500
0.500 0.500 0.000
0.500 0.000 0.000
0.564 0.814 0.129
0.863 0.113 0.726
0.819 0.159 0.266
0.448 0.607 0.266
0.448 0.159 0.266
0.819 0.607 0.266
0.436 0.186 0.871
0.137 0.887 0.274
0.181 0.841 0.734
0.552 0.393 0.734
0.552 0.841 0.734
0.181 0.393 0.734
```

D(E_F) = 0.00 states/eV per atom
final energy = -0.188 hartree per atom



No. 18
Below is a relaxed structure of RbSr2MoF8, with properties calculated at the PBE with a Hubbard U level.

The structure in POSCAR format:
```
RbSr2MoF8
1.0
4.421 -0.278 0.000
-0.303 5.737 -0.006
0.002 0.009 8.081
Rb Sr Mo F
1 2 1 8
Direct
0.000 0.000 0.500
0.500 0.500 0.752
0.500 0.500 0.248
0.000 0.000 0.000
0.052 0.755 0.195
0.582 0.777 0.000
0.948 0.245 0.195
0.948 0.245 0.805
0.418 0.223 0.000
0.052 0.755 0.805
0.467 0.723 0.500
0.533 0.277 0.500
```

D(E_F) = 0.00 states/eV per atom
final energy = -0.201 hartree per atom



No. 19
Below is a relaxed structure of Rb2SrMo3F12, with properties calculated at the PBE with a Hubbard U level.

The structure in POSCAR format:
```
Rb2SrMo3F12
1.0
7.703 0.041 0.029
3.840 6.678 0.029
3.840 2.235 6.293
Rb Sr Mo F
2 1 3 12
Direct
0.621 0.621 0.621
0.379 0.379 0.379
0.000 0.000 0.000
0.500 0.000 0.000
0.000 0.500 0.000
0.000 0.000 0.500
0.290 0.290 0.851
0.883 0.883 0.399
0.399 0.883 0.883
0.851 0.290 0.290
0.883 0.399 0.883
0.290 0.851 0.290
0.710 0.710 0.149
0.117 0.117 0.601
0.601 0.117 0.117
0.149 0.710 0.710
0.117 0.601 0.117
0.710 0.149 0.710
```

D(E_F) = 0.02 states/eV per atom
final energy = -0.196 hartree per atom



No. 20
Below is a relaxed structure of Rb2SrMoF6, with properties calculated at the PBE with a Hubbard U level.

The structure in POSCAR format:
```
Rb2SrMoF6
1.0
-6.411 0.534 -1.961
-1.990 -2.969 5.697
-4.480 2.843 3.886
Sr Mo Rb F
1 1 2 6
Direct
0.500 0.500 0.000
0.000 0.000 0.000
0.750 0.250 0.500
0.250 0.750 0.500
0.237 0.237 0.527
0.763 0.763 0.473
0.250 0.250 0.000
0.750 0.750 0.000
0.750 0.250 0.000
0.250 0.750 0.000
```

D(E_F) = 0.00 states/eV per atom
final energy = -0.185 hartree per atom



Listing spin magnetization for the structures above in their given order: 5.0, 2.0, 4.2, 6.0, 2.3, 5.0, 3.0, 11.1, 5.0, 5.0, 0.0, 2.0, 5.0, 6.0, 4.0, 3.0, 3.0, 3.0, 8.0, 4.0 μB/f.u..